[1]
! PBE CdPbAu4, relaxed; values from VASP
! SG: P-1
! crystal system: triclinic
! energy above the lowest structure with this stoichiometry: 0 meV/atom
! theoretical density: 14.76 g cm⁻³
&SYSTEM
  ibrav = 0, nat = 6, ntyp = 3
/
ATOMIC_SPECIES
Cd 112.41 Cd.upf
Pb 207.20 Pb.upf
Au 196.97 Au.upf
ATOMIC_POSITIONS crystal
Cd 0.000 0.000 0.000
Pb 0.000 0.000 0.500
Au 0.330 0.338 0.150
Au 0.339 0.331 0.690
Au 0.661 0.669 0.310
Au 0.670 0.662 0.850
CELL_PARAMETERS angstrom
3.864 0.000 0.000
1.901 4.757 0.000
0.024 2.460 6.777

=====

[2]
! PBE Pr2DyY, relaxed; values from VASP
! SG: P4/mmm
! crystal system: tetragonal
! energy above the lowest structure with this stoichiometry: 9 meV/atom
! theoretical density: 6.52 g cm⁻³
&SYSTEM
  ibrav = 0, nat = 4, ntyp = 3
/
ATOMIC_SPECIES
Pr 140.91 Pr.upf
Dy 162.50 Dy.upf
Y 88.91 Y.upf
ATOMIC_POSITIONS crystal
Pr 0.000 0.500 0.000
Pr 0.500 0.000 0.000
Dy 0.000 0.000 0.500
Y 0.500 0.500 0.500
CELL_PARAMETERS angstrom
5.171 0.000 0.000
0.000 5.171 0.000
0.000 0.000 5.076

=====

[3]
! PBE HoPu3Tl4S8, relaxed; values from VASP
! SG: R-3m
! crystal system: trigonal
! formation energy from raw total energies: -1.2776 eV per atom
! theoretical density: 7.64 g cm⁻³
&SYSTEM
  ibrav = 0, nat = 16, ntyp = 4
/
ATOMIC_SPECIES
Ho 164.93 Ho.upf
Pu 244.00 Pu.upf
Tl 204.38 Tl.upf
S 32.06 S.upf
ATOMIC_POSITIONS crystal
Ho 0.000 0.000 0.000
Pu 0.000 0.500 0.500
Pu 0.500 0.000 0.500
Pu 0.500 0.500 0.000
Tl 0.000 0.000 0.500
Tl 0.000 0.500 0.000
Tl 0.500 0.000 0.000
Tl 0.500 0.500 0.500
S 0.231 0.231 0.735
S 0.231 0.735 0.231
S 0.265 0.769 0.769
S 0.269 0.269 0.269
S 0.731 0.731 0.731
S 0.735 0.231 0.231
S 0.769 0.265 0.769
S 0.769 0.769 0.265
CELL_PARAMETERS angstrom
4.070 2.350 7.466
-4.070 2.350 7.466
0.000 -4.699 7.466

=====

Electronic total energy per entry: -3.011, -5.138, -6.906 eV/atom